Record 1
4
Lattice="7.0836 -0.0162 0.0000 5.1627 4.8502 0.0000 -6.1231 -2.4170 2.6159" Properties=species:S:1:pos:R:3 comment="Li2CdCl (GGA-PBE, optimized geometry)" polymorph_energy_mev_per_atom=205 pbc="T T T"
Li 0.0000 0.0000 0.0000
Li 2.5813 2.4251 1.3079
Cl 3.5418 -0.0081 1.3079
Cd 6.1231 2.4170 0.0000

***

Record 2
5
Lattice="4.5292 0.0000 0.0000 0.0000 4.5292 0.0000 0.0000 0.0000 6.9254" Properties=species:S:1:pos:R:3 comment="BaLiPO2 (GGA-PBE, optimized geometry)" polymorph_energy_mev_per_atom=541 pbc="T T T"
P 0.0000 0.0000 3.4627
O 2.2646 0.0000 0.0000
O 0.0000 2.2646 0.0000
Li 2.2646 2.2646 3.4627
Ba 0.0000 0.0000 0.0000

***

Record 3
7
Lattice="-2.4732 2.1549 1.6685 1.1785 -4.5344 4.3026 5.6565 4.8287 1.7542" Properties=species:S:1:pos:R:3 comment="Sm3C2Br2 (GGA-PBE, optimized geometry)" final_energy_ev_per_atom=-5.823 pbc="T T T"
Br 2.0387 1.0675 1.9603
Br 2.3231 1.3817 5.7651
Sm -0.1273 0.2007 4.0368
Sm 0.0000 0.0000 0.0000
Sm 4.4890 2.2485 3.6886
C 4.0702 4.6695 3.8983
C 0.2916 -2.2203 3.8271

***

Record 4
8
Lattice="5.5279 0.0000 0.0000 0.0000 5.5279 0.0000 2.7639 2.7639 10.4050" Properties=species:S:1:pos:R:3 comment="RbLaGe2 (GGA-PBE, optimized geometry)" e_form_ev_per_atom=0.161 polymorph_energy_mev_per_atom=175 pbc="T T T"
La 0.0000 0.0000 0.0000
La 5.5279 2.7639 5.2025
Ge 6.0716 4.1459 2.6012
Ge 4.1459 3.3077 7.8037
Ge 4.9842 1.3820 2.6012
Ge 6.9099 2.2202 7.8037
Rb 2.7639 5.5279 5.2025
Rb 2.7639 2.7639 0.0000

***

Record 5
11
Lattice="7.0629 0.0000 0.0000 -3.5315 6.2518 -0.2818 0.0000 -3.9325 6.7762" Properties=species:S:1:pos:R:3 comment="Ba2PaRh2S6 (GGA-PBE, optimized geometry)" final_energy_ev_per_atom=-5.964 pbc="T T T"
S 1.7861 -2.3739 5.3425
S -1.7454 4.6932 1.1519
S 5.2768 -2.3739 5.3425
S 1.7454 4.6932 1.1519
S 3.5315 0.5336 4.0900
S 0.0000 1.7857 2.4044
Ba 3.5315 2.0096 1.2674
Ba 0.0000 0.3097 5.2269
Rh 0.0000 -0.1480 1.2271
Rh 3.5315 2.4673 5.2673
Pa 3.5315 -1.9663 3.3881

***

Record 6
4
Lattice="-4.2009 0.3564 -1.6828 -1.0939 -3.9806 1.8879 -0.8316 1.3486 2.3616" Properties=species:S:1:pos:R:3 comment="Co2HgPt (GGA-PBE, optimized geometry)" e_form_ev_per_atom=0.312 pbc="T T T"
Co -2.6474 -1.8121 0.1026
Co 0.0000 0.0000 0.0000
Hg -2.5162 0.8525 0.3394
Pt -0.9628 -1.3160 2.1247